1.
Entry from the Alexandria database: crystalline Ca2Si3Pt9 at its relaxed geometry (PBE).

Results
SG: C2/c
Uncorrected energy: -6.13 eV per atom
Crystal system: monoclinic

abc: 7.610 7.610 10.095
angles: 89.88 112.48 119.71
Atoms (fractional coordinates):
Si (0.500, 0.000, 0.000)
Pt (0.214, 0.522, 0.573)
Pt (0.671, 0.697, 0.754)
Pt (0.443, 0.917, 0.746)
Pt (0.118, 0.142, 0.428)
Si (0.857, 0.179, 0.501)
Pt (0.882, 0.858, 0.572)
Pt (0.551, 0.359, 0.073)
Pt (0.871, 0.018, 0.063)
Pt (0.892, 0.142, 0.750)
Pt (0.108, 0.858, 0.250)
Pt (0.449, 0.641, 0.927)
Pt (0.455, 0.808, 0.437)
Pt (0.329, 0.303, 0.246)
Pt (0.129, 0.982, 0.937)
Pt (0.786, 0.478, 0.427)
Si (0.823, 0.644, 0.001)
Si (0.500, 0.500, 0.500)
Ca (0.997, 0.585, 0.750)
Si (0.143, 0.821, 0.499)
Ca (0.334, 0.247, 0.750)
Pt (0.557, 0.083, 0.254)
Si (0.177, 0.356, 0.999)
Ca (0.003, 0.415, 0.250)
Pt (0.785, 0.309, 0.928)
Pt (0.215, 0.691, 0.072)
Ca (0.666, 0.753, 0.250)
Pt (0.545, 0.192, 0.563)

2.
Entry from the Alexandria database: crystalline CaSiPt2 at its relaxed geometry (PBE).

Results
SG: Immm
Uncorrected energy: -5.52 eV per atom
Crystal system: orthorhombic

abc: 5.049 5.049 5.049
angles: 136.83 119.37 77.30
Atoms (fractional coordinates):
Pt (0.942, 0.942, 0.000)
Pt (0.558, 0.558, 0.000)
Si (0.750, 0.250, 0.500)
Ca (0.250, 0.750, 0.500)

3.
Entry from the Alexandria database: crystalline Ca2Si5Pt3 at its relaxed geometry (PBE).

Results
SG: Ibam
Uncorrected energy: -5.76 eV per atom
Crystal system: orthorhombic

abc: 8.254 8.254 8.254
angles: 137.60 104.70 90.45
Atoms (fractional coordinates):
Pt (0.978, 0.364, 0.615)
Ca (0.638, 0.371, 0.267)
Pt (0.251, 0.136, 0.115)
Si (0.238, 0.388, 0.850)
Si (0.729, 0.479, 0.750)
Si (0.000, 0.250, 0.250)
Si (0.462, 0.112, 0.350)
Pt (0.749, 0.864, 0.885)
Pt (0.500, 0.750, 0.250)
Si (0.729, 0.979, 0.250)
Si (0.271, 0.521, 0.250)
Si (0.000, 0.750, 0.750)
Ca (0.104, 0.871, 0.233)
Ca (0.896, 0.129, 0.767)
Pt (0.500, 0.250, 0.750)
Si (0.271, 0.021, 0.750)
Ca (0.362, 0.629, 0.733)
Si (0.538, 0.888, 0.650)
Pt (0.022, 0.636, 0.385)
Si (0.762, 0.612, 0.150)

4.
Entry from the Alexandria database: crystalline Ca3Si2Pt6 at its relaxed geometry (PBE).

Results
SG: Im-3m
Uncorrected energy: -5.76 eV per atom
Crystal system: cubic

abc: 8.182 8.182 8.182
angles: 109.47 109.47 109.47
Atoms (fractional coordinates):
Pt (0.686, 0.372, 0.686)
Pt (0.000, 0.314, 0.686)
Ca (0.297, 0.000, 0.297)
Pt (0.372, 0.686, 0.686)
Pt (0.314, 0.000, 0.686)
Ca (0.297, 0.297, 0.000)
Pt (0.314, 0.686, 0.000)
Pt (0.314, 0.628, 0.314)
Pt (0.686, 0.686, 0.372)
Ca (0.703, 0.703, 0.000)
Ca (0.000, 0.297, 0.297)
Pt (0.686, 0.314, 0.000)
Ca (0.000, 0.703, 0.703)
Ca (0.703, 0.000, 0.703)
Pt (0.314, 0.314, 0.628)
Pt (0.628, 0.314, 0.314)
Si (0.500, 0.000, 0.000)
Pt (0.686, 0.000, 0.314)
Si (0.500, 0.500, 0.500)
Si (0.000, 0.500, 0.000)
Pt (0.000, 0.686, 0.314)
Si (0.000, 0.000, 0.500)

5.
Entry from the Alexandria database: crystalline Ca2SiPt at its relaxed geometry (PBE).

Results
SG: Pmm2
Uncorrected energy: -4.16 eV per atom
Crystal system: orthorhombic

abc: 3.134 5.083 5.912
angles: 90.00 90.00 90.00
Atoms (fractional coordinates):
Ca (0.500, 0.500, 0.348)
Ca (0.000, 0.000, 0.904)
Si (0.500, 0.500, 0.847)
Pt (0.000, 0.000, 0.401)

6.
Entry from the Alexandria database: crystalline CaSiPt2 at its relaxed geometry (PBE).

Results
SG: Pnma
Uncorrected energy: -5.85 eV per atom
Crystal system: orthorhombic

abc: 5.538 6.946 7.403
angles: 90.00 90.00 90.00
Atoms (fractional coordinates):
Pt (0.604, 0.448, 0.671)
Si (0.874, 0.250, 0.876)
Pt (0.896, 0.448, 0.171)
Pt (0.104, 0.552, 0.829)
Si (0.374, 0.750, 0.624)
Pt (0.396, 0.552, 0.329)
Ca (0.875, 0.750, 0.478)
Si (0.626, 0.250, 0.376)
Ca (0.125, 0.250, 0.522)
Ca (0.625, 0.750, 0.978)
Pt (0.604, 0.052, 0.671)
Pt (0.396, 0.948, 0.329)
Pt (0.104, 0.948, 0.829)
Ca (0.375, 0.250, 0.022)
Pt (0.896, 0.052, 0.171)
Si (0.126, 0.750, 0.124)

7.
Entry from the Alexandria database: crystalline CaSi3Pt2 at its relaxed geometry (PBE).

Results
SG: C2/m
Uncorrected energy: -5.77 eV per atom
Crystal system: monoclinic

abc: 4.083 8.308 9.728
angles: 104.65 90.00 104.22
Atoms (fractional coordinates):
Si (0.043, 0.085, 0.375)
Si (0.780, 0.559, 0.630)
Si (0.632, 0.264, 0.180)
Pt (0.488, 0.977, 0.233)
Si (0.500, 0.000, 0.500)
Pt (0.351, 0.702, 0.558)
Si (0.349, 0.697, 0.061)
Pt (0.649, 0.298, 0.442)
Ca (0.155, 0.311, 0.708)
Ca (0.845, 0.689, 0.292)
Si (0.651, 0.303, 0.939)
Si (0.220, 0.441, 0.370)
Si (0.368, 0.736, 0.820)
Pt (0.201, 0.402, 0.108)
Pt (0.799, 0.598, 0.892)
Pt (0.512, 0.023, 0.767)
Ca (0.000, 0.000, 0.000)
Si (0.957, 0.915, 0.625)

8.
Entry from the Alexandria database: crystalline CaSiPt2 at its relaxed geometry (PBE).

Results
SG: F-43m
Uncorrected energy: -5.17 eV per atom
Crystal system: cubic

abc: 4.647 4.647 4.647
angles: 60.00 60.00 60.00
Atoms (fractional coordinates):
Pt (0.250, 0.250, 0.250)
Ca (0.500, 0.500, 0.500)
Pt (0.000, 0.000, 0.000)
Si (0.750, 0.750, 0.750)

Q: What is the uncorrected energy in the third record?
A: -5.76 eV per atom

Q: uncorrected energy of number 5 (Ca2SiPt)?
A: -4.16 eV per atom

Q: Which value of uncorrected energy does entry 1 give?
A: -6.13 eV per atom

Please write out number 1 again, unchanged.
Entry from the Alexandria database: crystalline Ca2Si3Pt9 at its relaxed geometry (PBE).

Results
SG: C2/c
Uncorrected energy: -6.13 eV per atom
Crystal system: monoclinic

abc: 7.610 7.610 10.095
angles: 89.88 112.48 119.71
Atoms (fractional coordinates):
Si (0.500, 0.000, 0.000)
Pt (0.214, 0.522, 0.573)
Pt (0.671, 0.697, 0.754)
Pt (0.443, 0.917, 0.746)
Pt (0.118, 0.142, 0.428)
Si (0.857, 0.179, 0.501)
Pt (0.882, 0.858, 0.572)
Pt (0.551, 0.359, 0.073)
Pt (0.871, 0.018, 0.063)
Pt (0.892, 0.142, 0.750)
Pt (0.108, 0.858, 0.250)
Pt (0.449, 0.641, 0.927)
Pt (0.455, 0.808, 0.437)
Pt (0.329, 0.303, 0.246)
Pt (0.129, 0.982, 0.937)
Pt (0.786, 0.478, 0.427)
Si (0.823, 0.644, 0.001)
Si (0.500, 0.500, 0.500)
Ca (0.997, 0.585, 0.750)
Si (0.143, 0.821, 0.499)
Ca (0.334, 0.247, 0.750)
Pt (0.557, 0.083, 0.254)
Si (0.177, 0.356, 0.999)
Ca (0.003, 0.415, 0.250)
Pt (0.785, 0.309, 0.928)
Pt (0.215, 0.691, 0.072)
Ca (0.666, 0.753, 0.250)
Pt (0.545, 0.192, 0.563)